Density functional theory data (PBE-GGA) for a geometry-optimized PmHgCl5 structure.

The structure belongs to space group C2/c (No. 15); the cell edges are 8.9058, 11.1056 and 8.3652 Å and the angles 90.00°, 98.25° and 90.00°. The distinct sites, in fractional coordinates, are Pm at (0.0000, 0.0667, 0.2500), Hg at (0.0000, 0.5000, 0.0000), Cl at (0.0000, 0.3175, 0.2500), Cl at (0.0960, 0.1203, 0.9526) and Cl at (0.1797, 0.3811, 0.6748).

The value obtained for the density of states at the Fermi level is 0.00 states/eV per cell. Its total moment is 0.00 μB/f.u. Its density is 4.24 g/cm3. As for the uncorrected formation energy: -10.5 eV per formula unit.


Density functional theory data (PBE-GGA) for a geometry-optimized DyHg2Sb structure.

The structure belongs to space group R-3m (No. 166, hexagonal axes); the cell edges are 3.4155, 3.4155 and 34.4061 Å and the angles 90.00°, 90.00° and 120.00°. The distinct sites, in fractional coordinates, are Dy at (0.0000, 0.0000, 0.0000), Hg at (0.0000, 0.0000, 0.0878) and Sb at (0.0000, 0.0000, 0.5000).

The value obtained for the density of states at the Fermi level is 6.84 states/eV per cell. Its total moment is 0.00 μB/f.u. Its density is 9.82 g/cm3. As for the uncorrected formation energy: 0.6 eV per formula unit.


Density functional theory data (PBE-GGA) for a geometry-optimized CsKTlHg structure.

The structure belongs to space group Cm (No. 8); the cell edges are 9.3183, 5.3967 and 8.6035 Å and the angles 90.00°, 111.38° and 90.00°. The distinct sites, in fractional coordinates, are Cs at (0.0000, 0.0000, 0.0000), K at (0.1877, 0.0000, 0.5583), Tl at (0.4397, 0.0000, 0.3171) and Hg at (0.2740, 0.5000, 0.3181).

The value obtained for the density of states at the Fermi level is 6.68 states/eV per cell. Its total moment is 0.00 μB/f.u. The value obtained for the energy of formation is -145 meV per atom. Its offset from the most stable computed form is 0 meV/atom. Its density is 4.76 g/cm3.